(1)
A plane-wave DFT calculation with PBE was carried out for a relaxed structure of Zr3Si5.

Summary:
Spin magnetization (Bohr magnetons per cell): 0.00
Density of states at the Fermi level (states/eV per cell): 9.41
Electronic total energy (eV for the cell shown): -111.08
Symmetry: Cmmm
Energy relative to the elements, uncorrected (eV/atom): -0.348
Volume (Å³/atom): 17.0

Unit cell a=8.292 b=8.644 c=3.801 alpha=90.00 beta=90.00 gamma=90.00
Positions (direct):
Zr  0.000  0.000  0.000
Zr  0.000  0.285  0.500
Zr  0.000  0.715  0.500
Zr  0.500  0.215  0.500
Zr  0.500  0.500  0.000
Zr  0.500  0.785  0.500
Si  0.000  0.500  0.000
Si  0.237  0.000  0.500
Si  0.250  0.250  0.000
Si  0.250  0.750  0.000
Si  0.263  0.500  0.500
Si  0.500  0.000  0.000
Si  0.737  0.500  0.500
Si  0.750  0.250  0.000
Si  0.750  0.750  0.000
Si  0.763  0.000  0.500


(2)
A plane-wave DFT calculation with PBE was carried out for a relaxed structure of BaCaIn.

Summary:
Spin magnetization (Bohr magnetons per cell): 0.00
DFT formation energy (eV/atom): -0.13
Density of states at the Fermi level (states/eV per cell): 3.64
Electronic total energy (eV for the cell shown): -7.05
Symmetry: P3m1
Volume (Å³/atom): 42.0

Unit cell a=4.122 b=4.122 c=8.569 alpha=90.00 beta=90.00 gamma=120.00
Positions (direct):
Ba  0.000  0.000  0.000
Ca  0.333  0.667  0.425
In  0.667  0.333  0.691


(3)
A plane-wave DFT calculation with PBE was carried out for a relaxed structure of Li8Zn6Ir.

Summary:
Spin magnetization (Bohr magnetons per cell): 0.00
DFT formation energy (eV/atom): -0.17
Density of states at the Fermi level (states/eV per cell): 5.21
Electronic total energy (eV for the cell shown): -34.35
Energy above the lowest structure with this stoichiometry (meV per atom): 0
Symmetry: R-3
Volume (Å³/atom): 16.0

Unit cell a=6.416 b=6.416 c=6.416 alpha=74.77 beta=74.77 gamma=74.77
Positions (direct):
Li  0.106  0.106  0.106
Li  0.215  0.567  0.220
Li  0.220  0.215  0.567
Li  0.433  0.780  0.785
Li  0.567  0.220  0.215
Li  0.780  0.785  0.433
Li  0.785  0.433  0.780
Li  0.894  0.894  0.894
Zn  0.165  0.834  0.501
Zn  0.166  0.499  0.835
Zn  0.499  0.835  0.166
Zn  0.501  0.165  0.834
Zn  0.834  0.501  0.165
Zn  0.835  0.166  0.499
Ir  0.500  0.500  0.500


(4)
A plane-wave DFT calculation with PBE was carried out for a relaxed structure of Rb2GaPH.

Summary:
Spin magnetization (Bohr magnetons per cell): 0.15
Density of states at the Fermi level (states/eV per cell): 3.98
Electronic total energy (eV for the cell shown): -29.68
Symmetry: P2_1/m
Volume (Å³/atom): 28.5

Unit cell a=6.865 b=4.051 c=10.428 alpha=90.00 beta=100.50 gamma=90.00
Positions (direct):
Rb  0.198  0.250  0.413
Rb  0.268  0.750  0.064
Rb  0.732  0.250  0.936
Rb  0.802  0.750  0.587
Ga  0.321  0.750  0.716
Ga  0.679  0.250  0.284
P  0.171  0.250  0.777
P  0.829  0.750  0.223
H  0.435  0.250  0.219
H  0.565  0.750  0.781


- Which of these has the highest spin magnetization?
  Rb2GaPH